Entry 1:
PrGa4Os: relaxed, GGA-PBE.

## Properties
DOS at the Fermi energy, states/eV/f.u.: 2.10
Energy of formation from the pure elements, eV per formula unit: -2.57
Offset from the most stable computed form, eV per atom: 0.033
Space-group type: Pmma, No. 51
V, A^3/atom: 19.203
Crystal system: orthorhombic

Cell: 7.747 4.167 7.139 Å, 90.00 90.00 90.00°
Atoms (fractional coordinates):
Pr1 0.250 0.000 0.134
Pr2 0.750 0.000 0.866
Ga1 0.000 0.000 0.500
Ga2 0.068 0.500 0.822
Ga3 0.250 0.500 0.462
Ga4 0.432 0.500 0.822
Ga5 0.500 0.000 0.500
Ga6 0.568 0.500 0.178
Ga7 0.750 0.500 0.538
Ga8 0.932 0.500 0.178
Os1 0.250 0.000 0.700
Os2 0.750 0.000 0.300

---

Entry 2:
CePaNiAu: relaxed, GGA-PBE.

## Properties
DOS at the Fermi energy, states/eV/f.u.: 8.09
Energy of formation from the pure elements, eV per formula unit: -0.72
Space-group type: F-43m, No. 216
V, A^3/atom: 21.874
Crystal system: cubic

Cell: 4.983 4.983 4.983 Å, 60.00 60.00 60.00°
Atoms (fractional coordinates):
Ce1 0.000 0.000 0.000
Pa1 0.500 0.500 0.500
Ni1 0.250 0.250 0.250
Au1 0.750 0.750 0.750

---

Entry 3:
NaIn2AgBr4: relaxed, GGA-PBE.

## Properties
DOS at the Fermi energy, states/eV/f.u.: 0.00
Formation energy (no corrections), eV per atom: -0.773
Space-group type: P2/m, No. 10
V, A^3/atom: 31.023
Crystal system: monoclinic

Cell: 7.555 4.378 7.925 Å, 90.00 108.79 90.00°
Atoms (fractional coordinates):
Na1 0.000 0.000 0.000
In1 0.000 0.500 0.500
In2 0.500 0.000 0.500
Ag1 0.500 0.500 0.000
Br1 0.242 0.500 0.216
Br2 0.268 0.000 0.788
Br3 0.732 0.000 0.212
Br4 0.758 0.500 0.784

---

Entry 4:
PmTm3Ga2: relaxed, GGA-PBE.

## Properties
DOS at the Fermi energy, states/eV/f.u.: 4.93
Energy of formation from the pure elements, eV per formula unit: -2.01
Offset from the most stable computed form, eV per atom: 0.087
Space-group type: C2/m, No. 12
V, A^3/atom: 26.138
Crystal system: monoclinic

Cell: 8.331 8.331 8.792 Å, 116.13 116.13 35.43°
Atoms (fractional coordinates):
Pm1 0.131 0.131 0.188
Pm2 0.869 0.869 0.812
Tm1 0.063 0.063 0.717
Tm2 0.312 0.312 0.012
Tm3 0.380 0.380 0.489
Tm4 0.620 0.620 0.511
Tm5 0.688 0.688 0.988
Tm6 0.937 0.937 0.283
Ga1 0.225 0.225 0.615
Ga2 0.487 0.487 0.849
Ga3 0.513 0.513 0.151
Ga4 0.775 0.775 0.385

---

Entry 5:
KTaRu2: relaxed, GGA-PBE.

## Properties
DOS at the Fermi energy, states/eV/f.u.: 4.51
Energy of formation from the pure elements, eV per formula unit: 4.36
Offset from the most stable computed form, eV per atom: 0.732
Space-group type: Cmmm, No. 65
V, A^3/atom: 18.212
Crystal system: orthorhombic

Cell: 5.379 5.379 2.615 Å, 90.00 90.00 105.70°
Atoms (fractional coordinates):
K1 0.000 0.000 0.000
Ta1 0.500 0.500 0.000
Ru1 0.000 0.500 0.500
Ru2 0.500 0.000 0.500

---

Entry 6:
NbTe2Br: relaxed, GGA-PBE.

## Properties
DOS at the Fermi energy, states/eV/f.u.: 0.19
Formation energy (no corrections), eV per atom: -0.290
Offset from the most stable computed form, eV per atom: 0.014
Space-group type: R-3m, No. 166
V, A^3/atom: 28.906
Crystal system: trigonal

Cell: 9.515 9.515 9.515 Å, 23.02 23.02 23.02°
Atoms (fractional coordinates):
Nb1 0.000 0.000 0.000
Te1 0.397 0.397 0.397
Te2 0.603 0.603 0.603
Br1 0.500 0.500 0.500

---

Entry 7:
Pm12InPt6: relaxed, GGA-PBE.

## Properties
DOS at the Fermi energy, states/eV/f.u.: 22.16
Energy of formation from the pure elements, eV per formula unit: -12.82
Offset from the most stable computed form, eV per atom: 0.104
Space-group type: R-3, No. 148
V, A^3/atom: 31.407
Crystal system: trigonal

Cell: 8.668 8.668 8.668 Å, 102.50 102.50 102.50°
Atoms (fractional coordinates):
Pm1 0.068 0.918 0.333
Pm2 0.082 0.667 0.932
Pm3 0.175 0.422 0.567
Pm4 0.333 0.068 0.918
Pm5 0.422 0.567 0.175
Pm6 0.433 0.825 0.578
Pm7 0.567 0.175 0.422
Pm8 0.578 0.433 0.825
Pm9 0.667 0.932 0.082
Pm10 0.825 0.578 0.433
Pm11 0.918 0.333 0.068
Pm12 0.932 0.082 0.667
In1 0.000 0.000 0.000
Pt1 0.142 0.610 0.312
Pt2 0.312 0.142 0.610
Pt3 0.390 0.688 0.858
Pt4 0.610 0.312 0.142
Pt5 0.688 0.858 0.390
Pt6 0.858 0.390 0.688

---

Entry 8:
DyThAu: relaxed, GGA-PBE.

## Properties
DOS at the Fermi energy, states/eV/f.u.: 3.83
Energy of formation from the pure elements, eV per formula unit: -0.63
Offset from the most stable computed form, eV per atom: 0.231
Space-group type: P-3m1, No. 164
V, A^3/atom: 28.004
Crystal system: trigonal

Cell: 3.612 3.612 14.872 Å, 90.00 90.00 120.00°
Atoms (fractional coordinates):
Dy1 0.000 0.000 0.208
Dy2 0.000 0.000 0.792
Th1 0.333 0.667 0.405
Th2 0.667 0.333 0.595
Au1 0.333 0.667 0.931
Au2 0.667 0.333 0.069

---

Entry 9:
AlNiAgSe: relaxed, GGA-PBE.

## Properties
DOS at the Fermi energy, states/eV/f.u.: 0.76
Formation energy (no corrections), eV per atom: -0.131
Offset from the most stable computed form, eV per atom: 0.102
Space-group type: P1, No. 1
V, A^3/atom: 17.390
Crystal system: triclinic

Cell: 3.502 4.153 5.577 Å, 75.57 72.71 65.15°
Atoms (fractional coordinates):
Al1 0.000 0.000 0.000
Ni1 0.355 0.429 0.854
Ag1 0.607 0.514 0.276
Se1 0.731 0.880 0.643

---

Entry 10:
TiInPPd2: relaxed, GGA-PBE.

## Properties
DOS at the Fermi energy, states/eV/f.u.: 4.21
Energy of formation from the pure elements, eV per formula unit: 1.38
Space-group type: P4/mmm, No. 123
V, A^3/atom: 21.348
Crystal system: tetragonal

Cell: 4.807 4.807 4.619 Å, 90.00 90.00 90.00°
Atoms (fractional coordinates):
Ti1 0.000 0.000 0.000
In1 0.500 0.500 0.500
P1 0.000 0.000 0.500
Pd1 0.000 0.500 0.000
Pd2 0.500 0.000 0.000

---

Entry 11:
BeZn2Ru: relaxed, GGA-PBE.

## Properties
DOS at the Fermi energy, states/eV/f.u.: 2.15
Energy of formation from the pure elements, eV per formula unit: -0.27
Space-group type: P2_1/m, No. 11
V, A^3/atom: 12.774
Crystal system: monoclinic

Cell: 3.888 2.902 9.252 Å, 90.00 101.81 90.00°
Atoms (fractional coordinates):
Be1 0.045 0.250 0.089
Be2 0.955 0.750 0.911
Zn1 0.151 0.750 0.308
Zn2 0.304 0.750 0.599
Zn3 0.696 0.250 0.401
Zn4 0.849 0.250 0.692
Ru1 0.439 0.250 0.879
Ru2 0.561 0.750 0.121

---

Entry 12:
Hf2NiSe: relaxed, GGA-PBE.

## Properties
DOS at the Fermi energy, states/eV/f.u.: 3.29
Formation energy (no corrections), eV per atom: -0.312
Space-group type: I-42d, No. 122
V, A^3/atom: 18.913
Crystal system: tetragonal

Cell: 5.836 5.836 5.836 Å, 106.13 106.13 116.39°
Atoms (fractional coordinates):
Hf1 0.109 0.625 0.984
Hf2 0.375 0.359 0.484
Hf3 0.641 0.125 0.016
Hf4 0.875 0.891 0.516
Ni1 0.000 0.000 0.000
Ni2 0.750 0.250 0.500
Se1 0.250 0.750 0.500
Se2 0.500 0.500 0.000

---

Entry 13:
Rb3NpPa2As6: relaxed, GGA-PBE.

## Properties
DOS at the Fermi energy, states/eV/f.u.: 10.37
Energy of formation from the pure elements, eV per formula unit: -8.04
Space-group type: C2/m, No. 12
V, A^3/atom: 31.878
Crystal system: monoclinic

Cell: 7.454 7.454 8.328 Å, 98.58 98.58 120.00°
Atoms (fractional coordinates):
Rb1 0.000 0.000 0.000
Rb2 0.333 0.667 0.000
Rb3 0.667 0.333 0.000
Np1 0.500 0.500 0.500
Pa1 0.167 0.833 0.500
Pa2 0.833 0.167 0.500
As1 0.109 0.441 0.323
As2 0.228 0.228 0.677
As3 0.441 0.109 0.323
As4 0.559 0.891 0.677
As5 0.772 0.772 0.323
As6 0.891 0.559 0.677

---

Entry 14:
P2IrPt: relaxed, GGA-PBE.

## Properties
DOS at the Fermi energy, states/eV/f.u.: 2.14
Energy of formation from the pure elements, eV per formula unit: 1.04
Offset from the most stable computed form, eV per atom: 0.646
Space-group type: Immm, No. 71
V, A^3/atom: 16.485
Crystal system: orthorhombic

Cell: 5.844 5.844 5.844 Å, 152.66 133.68 54.63°
Atoms (fractional coordinates):
P1 0.191 0.191 0.000
P2 0.809 0.809 0.000
Ir1 0.000 0.500 0.500
Pt1 0.500 0.000 0.500

---

Entry 15:
Li2AgOsCl8: relaxed, GGA-PBE.

## Properties
DOS at the Fermi energy, states/eV/f.u.: 4.61
Formation energy (no corrections), eV per atom: -0.868
Space-group type: P-1, No. 2
V, A^3/atom: 25.446
Crystal system: triclinic

Cell: 6.314 6.531 8.243 Å, 69.25 86.04 73.98°
Atoms (fractional coordinates):
Li1 0.046 0.162 0.311
Li2 0.954 0.838 0.689
Ag1 0.500 0.500 0.500
Os1 0.500 0.500 0.000
Cl1 0.125 0.759 0.446
Cl2 0.144 0.739 0.966
Cl3 0.398 0.304 0.848
Cl4 0.407 0.254 0.264
Cl5 0.593 0.746 0.736
Cl6 0.602 0.696 0.152
Cl7 0.856 0.261 0.034
Cl8 0.875 0.241 0.554

---

Entry 16:
Cs2NaCu: relaxed, GGA-PBE.

## Properties
DOS at the Fermi energy, states/eV/f.u.: 0.66
Energy of formation from the pure elements, eV per formula unit: 1.19
Offset from the most stable computed form, eV per atom: 0.038
Space-group type: Fm-3m, No. 225
V, A^3/atom: 51.865
Crystal system: cubic

Cell: 6.645 6.645 6.645 Å, 60.00 60.00 60.00°
Atoms (fractional coordinates):
Cs1 0.250 0.250 0.250
Cs2 0.750 0.750 0.750
Na1 0.000 0.000 0.000
Cu1 0.500 0.500 0.500

---

Entry 17:
Sm12Tl4AgO3: relaxed, GGA-PBE.

## Properties
DOS at the Fermi energy, states/eV/f.u.: 17.02
Formation energy (no corrections), eV per atom: -0.921
Space-group type: Im-3m, No. 229
V, A^3/atom: 26.348
Crystal system: cubic

Cell: 8.813 8.813 8.813 Å, 109.47 109.47 109.47°
Atoms (fractional coordinates):
Sm1 0.000 0.271 0.271
Sm2 0.000 0.729 0.729
Sm3 0.250 0.500 0.750
Sm4 0.250 0.750 0.500
Sm5 0.271 0.000 0.271
Sm6 0.271 0.271 0.000
Sm7 0.500 0.250 0.750
Sm8 0.500 0.750 0.250
Sm9 0.729 0.000 0.729
Sm10 0.729 0.729 0.000
Sm11 0.750 0.250 0.500
Sm12 0.750 0.500 0.250
Tl1 0.000 0.000 0.500
Tl2 0.000 0.500 0.000
Tl3 0.500 0.000 0.000
Tl4 0.500 0.500 0.500
Ag1 0.000 0.000 0.000
O1 0.000 0.500 0.500
O2 0.500 0.000 0.500
O3 0.500 0.500 0.000

---

Entry 18:
Y2ReNCl: relaxed, GGA-PBE.

## Properties
DOS at the Fermi energy, states/eV/f.u.: 3.88
Formation energy (no corrections), eV per atom: 0.827
Space-group type: P4/mmm, No. 123
V, A^3/atom: 20.293
Crystal system: tetragonal

Cell: 5.144 5.144 3.835 Å, 90.00 90.00 90.00°
Atoms (fractional coordinates):
Y1 0.000 0.500 0.000
Y2 0.500 0.000 0.000
Re1 0.000 0.000 0.500
N1 0.500 0.500 0.500
Cl1 0.500 0.500 0.000

---

Entry 19:
Zr4ZnRh: relaxed, GGA-PBE.

## Properties
DOS at the Fermi energy, states/eV/f.u.: 6.94
Energy of formation from the pure elements, eV per formula unit: -2.17
Offset from the most stable computed form, eV per atom: 0.000
Space-group type: I422, No. 97
V, A^3/atom: 19.982
Crystal system: tetragonal

Cell: 5.442 5.442 5.442 Å, 103.82 103.82 121.49°
Atoms (fractional coordinates):
Zr1 0.091 0.591 0.182
Zr2 0.409 0.909 0.818
Zr3 0.591 0.409 0.500
Zr4 0.909 0.091 0.500
Zn1 0.000 0.000 0.000
Rh1 0.500 0.500 0.000

---

Entry 20:
Ho4GeTe2As: relaxed, GGA-PBE.

## Properties
DOS at the Fermi energy, states/eV/f.u.: 1.63
Formation energy (no corrections), eV per atom: -1.343
Space-group type: P2/m, No. 10
V, A^3/atom: 26.922
Crystal system: monoclinic

Cell: 7.287 4.207 7.431 Å, 90.00 109.02 90.00°
Atoms (fractional coordinates):
Ho1 0.237 0.000 0.220
Ho2 0.257 0.500 0.781
Ho3 0.743 0.500 0.219
Ho4 0.763 0.000 0.780
Ge1 0.000 0.500 0.000
Te1 0.000 0.000 0.500
Te2 0.500 0.500 0.500
As1 0.500 0.000 0.000

---

Entry 21:
BaTi2HPt: relaxed, GGA-PBE.

## Properties
DOS at the Fermi energy, states/eV/f.u.: 4.97
Raw total energy, eV per cell: -26.42
Space-group type: P4/mmm, No. 123
V, A^3/atom: 18.391
Crystal system: tetragonal

Cell: 4.186 4.186 5.247 Å, 90.00 90.00 90.00°
Atoms (fractional coordinates):
Ba1 0.000 0.000 0.000
Ti1 0.000 0.500 0.500
Ti2 0.500 0.000 0.500
H1 0.000 0.000 0.500
Pt1 0.500 0.500 0.000

---

Entry 22:
SrAsPt2: relaxed, GGA-PBE.

## Properties
DOS at the Fermi energy, states/eV/f.u.: 1.61
Energy of formation from the pure elements, eV per formula unit: -2.84
Space-group type: Pmm2, No. 25
V, A^3/atom: 24.433
Crystal system: orthorhombic

Cell: 4.393 4.601 4.835 Å, 90.00 90.00 90.00°
Atoms (fractional coordinates):
Sr1 0.000 0.000 0.000
As1 0.500 0.500 0.345
Pt1 0.500 0.000 0.509
Pt2 0.500 0.500 0.856

---

Entry 23:
K2Y2Tl: relaxed, GGA-PBE.

## Properties
DOS at the Fermi energy, states/eV/f.u.: 4.59
Energy of formation from the pure elements, eV per formula unit: 2.29
Offset from the most stable computed form, eV per atom: 0.000
Space-group type: I4/mmm, No. 139
V, A^3/atom: 45.580
Crystal system: tetragonal

Cell: 11.752 11.752 11.752 Å, 157.99 157.99 31.33°
Atoms (fractional coordinates):
K1 0.094 0.094 0.000
K2 0.906 0.906 0.000
Y1 0.250 0.750 0.500
Y2 0.750 0.250 0.500
Tl1 0.500 0.500 0.000

---

Entry 24:
LiRh2Se: relaxed, GGA-PBE.

## Properties
DOS at the Fermi energy, states/eV/f.u.: 5.27
Formation energy (no corrections), eV per atom: -0.007
Space-group type: I-42d, No. 122
V, A^3/atom: 17.250
Crystal system: tetragonal

Cell: 5.789 5.789 5.789 Å, 101.28 101.28 127.51°
Atoms (fractional coordinates):
Li1 0.000 0.000 0.000
Li2 0.750 0.250 0.500
Rh1 0.197 0.125 0.572
Rh2 0.375 0.803 0.928
Rh3 0.553 0.625 0.428
Rh4 0.875 0.447 0.072
Se1 0.250 0.750 0.500
Se2 0.500 0.500 0.000

---

Entry 25:
CePmMgAg: relaxed, GGA-PBE.

## Properties
DOS at the Fermi energy, states/eV/f.u.: 10.71
Energy of formation from the pure elements, eV per formula unit: -0.08
Space-group type: F-43m, No. 216
V, A^3/atom: 27.356
Crystal system: cubic

Cell: 5.369 5.369 5.369 Å, 60.00 60.00 60.00°
Atoms (fractional coordinates):
Ce1 0.000 0.000 0.000
Pm1 0.500 0.500 0.500
Mg1 0.250 0.250 0.250
Ag1 0.750 0.750 0.750